Record 1
A relaxed structure of InNiOs, computed with PBE.

Properties
* SG: P3m1
* polymorph energy (0 for the lowest one): 0.0772 eV per atom
* formation energy: 0.4196 eV/atom
* calculated total energy: -0.4530 Ry per atom

abc: 2.8712 2.8712 6.4661
angles: 90.00 90.00 120.00
Last column: nearest neighbours and their distance in Å.
Positions (direct):
Ni 0.6667 0.3333 0.3452  3 Os 2.55, 3 In 2.73
Os 0.3333 0.6667 0.6442  3 Ni 2.55
In 0.0000 0.0000 0.0106  3 Ni 2.73, 6 In 2.87, 3 Os 2.89

Record 2
A relaxed structure of In2Ni2Os, computed with PBE.

Properties
* SG: P4/mbm
* formation energy: 0.3028 eV/atom
* calculated total energy: -0.3933 Ry per atom

abc: 6.6580 6.6580 3.5344
angles: 90.00 90.00 90.00
Last column: nearest neighbours and their distance in Å.
Positions (direct):
In 0.3235 0.1765 0.5000  6 Ni 2.57-2.70
In 0.6765 0.8235 0.5000  6 Ni 2.57-2.70
In 0.1765 0.6765 0.5000  6 Ni 2.57-2.70
In 0.8235 0.3235 0.5000  6 Ni 2.57-2.70
Os 0.0000 0.0000 0.0000  4 Ni 2.63
Os 0.5000 0.5000 0.0000  4 Ni 2.63
Ni 0.3747 0.8747 0.0000  1 Ni 2.36, 2 In 2.57, 2 Os 2.63
Ni 0.1253 0.3747 0.0000  1 Ni 2.36, 2 In 2.57, 2 Os 2.63
Ni 0.8747 0.6253 0.0000  1 Ni 2.36, 2 In 2.57, 2 Os 2.63
Ni 0.6253 0.1253 0.0000  1 Ni 2.36, 2 In 2.57, 2 Os 2.63

Record 3
A relaxed structure of InNiOs2, computed with PBE.

Properties
* SG: C2/m
* formation energy: 0.3820 eV/atom
* calculated total energy: -0.5412 Ry per atom

abc: 4.7216 4.7216 4.8564
angles: 78.75 78.75 34.78
Last column: nearest neighbours and their distance in Å.
Positions (direct):
Os 0.9878 0.9878 0.0337  4 Os 2.58-2.82, 3 Ni 2.60-2.78, 3 In 2.77-2.85
Os 0.5122 0.5122 0.4663  4 Os 2.58-2.82, 3 Ni 2.60-2.78, 3 In 2.77-2.85
In 0.7500 0.7500 0.7500  6 Os 2.77-2.85, 4 Ni 2.81, 2 In 2.82
Ni 0.2500 0.2500 0.2500  6 Os 2.60-2.78, 4 In 2.81, 2 Ni 2.82